No. 1
The following is a DFT calculation (GGA-PBE) of a relaxed ErScTe crystal.

The volume is 156.47 Å³ per cell. The total DFT energy (no corrections) comes out at -5.50 eV/atom. The total magnetic moment comes out at 0.0 μB per formula unit. The crystal system is monoclinic. The value obtained for the uncorrected formation energy is -0.82 eV per atom. The energy above the most stable polymorph in this dataset comes out at 19 meV per atom. The symmetry is C2/m (12).

a = 3.8257 Å, b = 6.0420 Å, c = 7.6486 Å
α = 108.93°, β = 104.49°, γ = 71.54°
With the nearest neighbours (Å) after each atom.
Fractional coordinates of all 6 atoms:
1 Sc 0.8546 0.7473 0.9566  3 Te 2.95-3.02, 1 Sc 3.07
2 Sc 0.1454 0.2527 0.0434  3 Te 2.95-3.02, 1 Sc 3.07
3 Er 0.4402 0.2956 0.6762  5 Te 3.16-3.21, 4 Sc 3.39-3.44
4 Er 0.5598 0.7044 0.3238  5 Te 3.16-3.21, 4 Sc 3.39-3.44
5 Te 0.1678 0.8492 0.6845  3 Sc 2.95-3.02, 5 Er 3.16-3.21
6 Te 0.8322 0.1508 0.3155  3 Sc 2.95-3.02, 5 Er 3.16-3.21


No. 2
The following is a DFT calculation (GGA-PBE) of a relaxed Ce3Sm2TmSe6 crystal.

The volume is 306.18 Å³ per cell. The total DFT energy (no corrections) comes out at -6.19 eV/atom. The total magnetic moment comes out at 3.0 μB per formula unit. The crystal system is monoclinic. The value obtained for the uncorrected formation energy is -1.80 eV per atom. The symmetry is C2/m (12).

a = 7.1869 Å, b = 7.1869 Å, c = 7.2548 Å
α = 99.51°, β = 99.51°, γ = 120.03°
With the nearest neighbours (Å) after each atom.
Fractional coordinates of all 12 atoms:
1 Ce 0.1707 0.8293 0.5000  6 Se 2.96-3.00
2 Ce 0.8293 0.1707 0.5000  6 Se 2.96-3.00
3 Ce 0.5000 0.5000 0.5000  6 Se 2.96-3.02
4 Sm 0.3338 0.6662 0.0000  6 Se 2.93-2.95
5 Sm 0.6662 0.3338 0.0000  6 Se 2.93-2.95
6 Tm 0.0000 0.0000 0.0000  6 Se 2.86-2.87
7 Se 0.9201 0.5953 0.7595  1 Tm 2.86, 2 Sm 2.93-2.94, 3 Ce 2.96-3.00
8 Se 0.7571 0.7571 0.2446  1 Tm 2.87, 2 Sm 2.95, 3 Ce 2.98-3.02
9 Se 0.0799 0.4047 0.2405  1 Tm 2.86, 2 Sm 2.93-2.94, 3 Ce 2.96-3.00
10 Se 0.5953 0.9201 0.7595  1 Tm 2.86, 2 Sm 2.93-2.94, 3 Ce 2.96-3.00
11 Se 0.2429 0.2429 0.7554  1 Tm 2.87, 2 Sm 2.95, 3 Ce 2.98-3.02
12 Se 0.4047 0.0799 0.2405  1 Tm 2.86, 2 Sm 2.93-2.94, 3 Ce 2.96-3.00


No. 3
The following is a DFT calculation (GGA-PBE) of a relaxed Ac8Os2Pb crystal.

The volume is 404.60 Å³ per cell. The total DFT energy (no corrections) comes out at -5.42 eV/atom. The total magnetic moment comes out at 0.0 μB per formula unit. The crystal system is monoclinic. The symmetry is Cm (8). For the formation enthalpy at 0 K, the calculation gives -0.60 eV/f.u.

a = 6.1334 Å, b = 8.5500 Å, c = 8.5500 Å
α = 112.29°, β = 97.07°, γ = 97.07°
With the nearest neighbours (Å) after each atom.
Fractional coordinates of all 11 atoms:
1 Ac 0.5828 0.3332 0.0689  2 Os 3.09-3.15
2 Ac 0.5828 0.0689 0.3332  2 Os 3.09-3.15
3 Ac 0.2133 0.3909 0.3909  2 Os 3.31, 1 Pb 3.63, 3 Ac 3.70-3.71
4 Ac 0.9998 0.2532 0.7526  2 Os 3.17
5 Ac 0.9998 0.7526 0.2532  2 Os 3.17
6 Ac 0.7872 0.6160 0.6160  2 Os 3.31, 1 Pb 3.63, 3 Ac 3.70
7 Ac 0.4169 0.9371 0.6726  2 Os 3.09-3.15
8 Ac 0.4169 0.6726 0.9371  2 Os 3.09-3.15
9 Os 0.5001 0.6964 0.3096  8 Ac 3.09-3.31
10 Os 0.5001 0.3096 0.6964  8 Ac 3.09-3.31
11 Pb 0.0000 0.0035 0.0035  8 Ac 3.55-3.97


No. 4
The following is a DFT calculation (GGA-PBE) of a relaxed TmTlAgSe2 crystal.

The volume is 295.97 Å³ per cell. The total DFT energy (no corrections) comes out at -4.07 eV/atom. The total magnetic moment comes out at 0.0 μB per formula unit. The crystal system is monoclinic. The value obtained for the uncorrected formation energy is -0.74 eV per atom. The symmetry is P2/c (13).

a = 6.0376 Å, b = 6.7046 Å, c = 7.5293 Å
α = 103.81°, β = 90.00°, γ = 90.00°
With the nearest neighbours (Å) after each atom.
Fractional coordinates of all 10 atoms:
1 Tm 0.5267 0.0000 0.2500  4 Se 2.73-2.77
2 Tm 0.4733 0.0000 0.7500  4 Se 2.73-2.77
3 Tl 0.1864 0.5000 0.7500  6 Se 3.31-3.58, 2 Ag 3.61
4 Tl 0.8136 0.5000 0.2500  6 Se 3.31-3.58, 2 Ag 3.61
5 Ag 0.0000 0.0000 0.0000  2 Se 2.56
6 Ag 0.0000 0.0000 0.5000  2 Se 2.56
7 Se 0.6795 0.7427 0.9298  1 Ag 2.56, 2 Tm 2.73-2.77
8 Se 0.6795 0.2573 0.5702  1 Ag 2.56, 2 Tm 2.73-2.77
9 Se 0.3205 0.7427 0.4298  1 Ag 2.56, 2 Tm 2.73-2.77
10 Se 0.3205 0.2573 0.0702  1 Ag 2.56, 2 Tm 2.73-2.77


No. 5
The following is a DFT calculation (GGA-PBE) of a relaxed TbAsIO4 crystal.

The volume is 253.23 Å³ per cell. The total DFT energy (no corrections) comes out at -6.25 eV/atom. The total magnetic moment comes out at 0.0 μB per formula unit. The crystal system is monoclinic. The value obtained for the uncorrected formation energy is -1.87 eV per atom. The symmetry is C2/m (12).

a = 6.7389 Å, b = 6.7389 Å, c = 6.8190 Å
α = 79.40°, β = 79.40°, γ = 56.74°
With the nearest neighbours (Å) after each atom.
Fractional coordinates of all 14 atoms:
1 Tb 0.2997 0.2997 0.8272  4 O 2.19-2.33
2 Tb 0.7003 0.7003 0.1728  4 O 2.19-2.33
3 As 0.6341 0.6341 0.7418  4 O 1.69-1.75
4 As 0.3659 0.3659 0.2582  4 O 1.69-1.75
5 I 0.0333 0.0333 0.3010  1 I 2.66
6 I 0.9667 0.9667 0.6990  1 I 2.66
7 O 0.3002 0.3002 0.5040  1 As 1.69
8 O 0.6998 0.6998 0.4960  1 As 1.69
9 O 0.1135 0.5237 0.1254  1 As 1.75
10 O 0.5113 0.5113 0.2273  1 As 1.69
11 O 0.4763 0.8865 0.8746  1 As 1.75
12 O 0.5237 0.1135 0.1254  1 As 1.75
13 O 0.4887 0.4887 0.7727  1 As 1.69
14 O 0.8865 0.4763 0.8746  1 As 1.75


No. 6
The following is a DFT calculation (GGA-PBE) of a relaxed ScVSe2 crystal.

The volume is 77.20 Å³ per cell. The total DFT energy (no corrections) comes out at -6.60 eV/atom. The total magnetic moment comes out at 2.2 μB per formula unit. The crystal system is trigonal. The value obtained for the uncorrected formation energy is -1.00 eV per atom. The energy above the most stable polymorph in this dataset comes out at 0 meV per atom. The symmetry is R-3m (166).

a = 3.8871 Å, b = 3.8871 Å, c = 6.3124 Å
α = 72.07°, β = 72.07°, γ = 60.00°
With the nearest neighbours (Å) after each atom.
Fractional coordinates of all 4 atoms:
1 Sc 0.0000 0.0000 0.0000  6 Se 2.74
2 Se 0.2440 0.2440 0.2679  3 V 2.63, 3 Sc 2.74
3 Se 0.7560 0.7560 0.7321  3 V 2.63, 3 Sc 2.74
4 V 0.5000 0.5000 0.5000  6 Se 2.63


No. 7
The following is a DFT calculation (GGA-PBE) of a relaxed ScMnCr crystal.

The volume is 44.56 Å³ per cell. The total DFT energy (no corrections) comes out at -7.96 eV/atom. The total magnetic moment comes out at 0.0 μB per formula unit. The crystal system is trigonal. The energy above the most stable polymorph in this dataset comes out at 451 meV per atom. The symmetry is P3m1 (156). For the formation enthalpy at 0 K, the calculation gives 1.24 eV/f.u.

a = 2.9008 Å, b = 2.9008 Å, c = 6.1147 Å
α = 90.00°, β = 90.00°, γ = 120.00°
With the nearest neighbours (Å) after each atom.
Fractional coordinates of all 3 atoms:
1 Cr 0.0000 0.0000 0.0447  3 Mn 2.26
2 Mn 0.6667 0.3333 0.2940  3 Cr 2.26
3 Sc 0.3333 0.6667 0.6614  3 Mn 2.80, 3 Cr 2.88, 6 Sc 2.90


No. 8
The following is a DFT calculation (GGA-PBE) of a relaxed Pa3Tl crystal.

The volume is 101.11 Å³ per cell. The total DFT energy (no corrections) comes out at -7.57 eV/atom. The total magnetic moment comes out at 0.0 μB per formula unit. The crystal system is cubic. The energy above the most stable polymorph in this dataset comes out at 65 meV per atom. The symmetry is Pm-3m (221). For the formation enthalpy at 0 K, the calculation gives 0.58 eV/f.u.

a = 4.6587 Å, b = 4.6587 Å, c = 4.6587 Å
α = 90.00°, β = 90.00°, γ = 90.00°
With the nearest neighbours (Å) after each atom.
Fractional coordinates of all 4 atoms:
1 Tl 0.0000 0.0000 0.0000  12 Pa 3.29
2 Pa 0.0000 0.5000 0.5000  4 Tl 3.29, 8 Pa 3.29
3 Pa 0.5000 0.0000 0.5000  4 Tl 3.29, 8 Pa 3.29
4 Pa 0.5000 0.5000 0.0000  4 Tl 3.29, 8 Pa 3.29